Entry 1:
VASP calculation (PBE) on a relaxed structure of TlMoH2.

Lattice parameters (Å, degrees): 4.077 4.077 4.077 60.00 60.00 60.00
Sites, in units of the cell vectors:
Tl  0.000  0.000  0.000
Mo  0.500  0.500  0.500
H  0.250  0.250  0.250
H  0.750  0.750  0.750

Values from the calculation:
- Total moment: 0.511 μB per atom
- Raw total energy: -15.19 eV for the cell shown
- V: 48 Å³/cell
- Density of states at the Fermi level: 0.5719 states/eV per atom
- Symmetry: Fm-3m

=====

Entry 2:
VASP calculation (PBE) on a relaxed structure of SrEuAg.

Lattice parameters (Å, degrees): 5.452 5.452 5.452 60.00 60.00 60.00
Sites, in units of the cell vectors:
Sr  0.000  0.000  0.000
Eu  0.500  0.500  0.500
Ag  0.250  0.250  0.250

Values from the calculation:
- Total moment: 2.502 μB per atom
- Raw total energy: -15.16 eV for the cell shown
- V: 115 Å³/cell
- Density of states at the Fermi level: 2.6903 states/eV per atom
- Symmetry: F-43m

=====

Entry 3:
VASP calculation (PBE) on a relaxed structure of CaMgZnNi.

Lattice parameters (Å, degrees): 4.767 4.767 4.767 60.00 60.00 60.00
Sites, in units of the cell vectors:
Ca  0.000  0.000  0.000
Mg  0.500  0.500  0.500
Zn  0.750  0.750  0.750
Ni  0.250  0.250  0.250

Values from the calculation:
- Total moment: 0.000 μB per atom
- Raw total energy: -10.91 eV for the cell shown
- V: 77 Å³/cell
- Density of states at the Fermi level: 0.6074 states/eV per atom
- Symmetry: F-43m

=====

Entry 4:
VASP calculation (PBE) on a relaxed structure of Pu3Th2PaAs6.

Lattice parameters (Å, degrees): 9.326 9.326 8.328 102.32 102.32 25.97
Sites, in units of the cell vectors:
Pu  0.000  0.000  0.000
Pu  0.332  0.332  0.666
Pu  0.668  0.668  0.334
Th  0.334  0.334  0.167
Th  0.666  0.666  0.833
Pa  0.000  0.000  0.500
As  0.165  0.165  0.576
As  0.166  0.166  0.089
As  0.498  0.498  0.743
As  0.502  0.502  0.257
As  0.834  0.834  0.911
As  0.835  0.835  0.424

Values from the calculation:
- Total moment: 0.440 μB per atom
- Raw total energy: -109.35 eV for the cell shown
- V: 309 Å³/cell
- Density of states at the Fermi level: 2.9262 states/eV per atom
- Symmetry: C2/m

=====

Entry 5:
VASP calculation (PBE) on a relaxed structure of LaDy5Tm.

Lattice parameters (Å, degrees): 6.544 6.544 11.457 103.31 103.31 95.67
Sites, in units of the cell vectors:
La  0.000  0.500  0.000
La  0.500  0.000  0.500
Dy  0.067  0.273  0.535
Dy  0.081  0.919  0.250
Dy  0.273  0.067  0.035
Dy  0.300  0.447  0.332
Dy  0.447  0.300  0.832
Dy  0.553  0.700  0.168
Dy  0.700  0.553  0.668
Dy  0.727  0.933  0.965
Dy  0.919  0.081  0.750
Dy  0.933  0.727  0.465
Tm  0.261  0.739  0.750
Tm  0.739  0.261  0.250

Values from the calculation:
- Total moment: 0.000 μB per atom
- Raw total energy: -63.44 eV for the cell shown
- V: 459 Å³/cell
- Density of states at the Fermi level: 1.5650 states/eV per atom
- Symmetry: C2/c

=====

Entry 6:
VASP calculation (PBE) on a relaxed structure of Tl4BrCl5.

Lattice parameters (Å, degrees): 9.727 10.585 6.986 90.00 90.00 90.00
Sites, in units of the cell vectors:
Tl  0.019  0.250  0.027
Tl  0.250  0.508  0.520
Tl  0.250  0.992  0.520
Tl  0.481  0.250  0.027
Tl  0.519  0.750  0.973
Tl  0.750  0.008  0.480
Tl  0.750  0.492  0.480
Tl  0.981  0.750  0.973
Br  0.250  0.250  0.599
Br  0.750  0.750  0.401
Cl  0.055  0.525  0.245
Cl  0.055  0.975  0.245
Cl  0.250  0.750  0.674
Cl  0.445  0.525  0.245
Cl  0.445  0.975  0.245
Cl  0.555  0.025  0.755
Cl  0.555  0.475  0.755
Cl  0.750  0.250  0.326
Cl  0.945  0.025  0.755
Cl  0.945  0.475  0.755

Values from the calculation:
- Total moment: 0.000 μB per atom
- V: 719 Å³/cell
- Density of states at the Fermi level: 0.0398 states/eV per atom
- Symmetry: Pmmn
- Uncorrected formation energy: -18.247 kcal/mol of atoms